# 1
CaVTe2I | PBE-GGA | relaxed

- ΔE_f (raw): -0.419 eV/atom
- SG: No. 123
- Polymorph energy (0 for the lowest one): 0.0 meV/atom

Cell lengths 5.374, 5.374, 5.557 Å; angles 90.00, 90.00, 90.00 degrees
Last column: magnetic moment on the atom in μB.
Fractional positions:
I: 0.000 0.000 0.500  -0.01
Ca: 0.500 0.500 0.500  0.02
Te: 0.000 0.500 0.000  -0.08
Te: 0.500 0.000 0.000  -0.08
V: 0.000 0.000 0.000  2.09



# 2
CaZnTe2I | PBE-GGA | relaxed

- ΔE_f (raw): -0.030 eV/atom
- SG: No. 123
- Polymorph energy (0 for the lowest one): 378.0 meV/atom

Cell lengths 6.140, 6.055, 6.140 Å; angles 90.00, 90.00, 90.00 degrees
Last column: magnetic moment on the atom in μB.
Fractional positions:
I: 0.000 0.500 0.000  0.15
Zn: 0.500 0.500 0.500  0.14
Te: 0.000 0.000 0.500  0.68
Te: 0.500 0.000 0.000  0.61
Ca: 0.000 0.000 0.000  -0.01



# 3
CaZnTe2I | PBE-GGA | relaxed

- ΔE_f (raw): -0.408 eV/atom
- SG: No. 123
- Polymorph energy (0 for the lowest one): 0.0 meV/atom

Cell lengths 5.299, 5.299, 5.898 Å; angles 90.00, 90.00, 90.00 degrees
Fractional positions:
I: 0.000 0.000 0.500
Zn: 0.000 0.000 0.000
Te: 0.000 0.500 0.000
Te: 0.500 0.000 0.000
Ca: 0.500 0.500 0.500



# 4
CaZrTe2I | PBE-GGA | relaxed

- ΔE_f (raw): -0.659 eV/atom
- SG: No. 123
- Polymorph energy (0 for the lowest one): 0.0 meV/atom

Cell lengths 5.683, 5.683, 5.634 Å; angles 90.00, 90.00, 90.00 degrees
Fractional positions:
I: 0.000 0.000 0.500
Ca: 0.500 0.500 0.500
Te: 0.000 0.500 0.000
Te: 0.500 0.000 0.000
Zr: 0.000 0.000 0.000



# 5
CaZrTeI2 | PBE-GGA | relaxed

- ΔE_f (raw): -0.556 eV/atom
- SG: No. 123
- Polymorph energy (0 for the lowest one): 0.0 meV/atom

Cell lengths 5.685, 5.685, 5.738 Å; angles 90.00, 90.00, 90.00 degrees
Fractional positions:
I: 0.000 0.500 0.000
I: 0.500 0.000 0.000
Ca: 0.500 0.500 0.500
Te: 0.000 0.000 0.500
Zr: 0.000 0.000 0.000



# 6
CaThI | PBE-GGA | relaxed

- ΔE_f (raw): -0.358 eV/atom
- SG: No. 187

Cell lengths 3.811, 3.811, 16.135 Å; angles 90.00, 90.00, 120.00 degrees
Last column: magnetic moment on the atom in μB.
Fractional positions:
Ca: 0.611 0.222 0.000  0.14
Ca: 0.278 0.556 0.500  0.06
Th: 0.611 0.222 0.303  0.08
Th: 0.611 0.222 0.697  0.08
I: 0.278 0.555 0.852  0.01
I: 0.278 0.555 0.148  0.01



# 7
CaTiI3 | PBE-GGA | relaxed

- ΔE_f (raw): -0.520 eV/atom
- SG: No. 221
- Polymorph energy (0 for the lowest one): 0.0 meV/atom

Cell lengths 5.667, 5.667, 5.667 Å; angles 90.00, 90.00, 90.00 degrees
Last column: magnetic moment on the atom in μB.
Fractional positions:
I: 0.000 0.500 0.000  0.00
I: 0.000 0.000 0.500  0.00
I: 0.500 0.000 0.000  0.00
Ca: 0.500 0.500 0.500  0.08
Ti: 0.000 0.000 0.000  1.81



# 8
Ca4Ti2I | PBE-GGA | relaxed

- ΔE_f (raw): 0.462 eV/atom
- SG: No. 139

Cell lengths 6.163, 6.163, 8.576 Å; angles 68.94, 68.94, 90.00 degrees
Fractional positions:
I: 0.000 0.000 0.000
Ca: 0.783 0.783 0.433
Ca: 0.217 0.217 0.567
Ca: 0.000 0.500 0.000
Ca: 0.500 0.000 0.000
Ti: 0.570 0.570 0.861
Ti: 0.430 0.430 0.139